DFT (PBE) results for an optimized crystal structure of Th4TeS6.

- total energy (eV per cell) = -78.458
- space-group type = No. 187

Lattice parameters (Å, degrees): 4.079 8.615 8.615 120.00 90.00 90.00
Fractional coordinates of all 11 atoms:
Te (0.000, 0.000, 0.000)
S (0.500, 0.198, 0.802)
Th (0.500, 0.362, 0.181)
S (0.500, 0.604, 0.802)
Th (0.500, 0.819, 0.638)
Th (0.500, 0.819, 0.181)
S (0.500, 0.198, 0.396)
S (0.000, 0.539, 0.461)
S (0.000, 0.539, 0.078)
S (0.000, 0.922, 0.461)
Th (0.000, 0.333, 0.667)

DFT (PBE) results for an optimized crystal structure of As2PRh.

- formation energy (eV per atom) = 0.30
- space-group type = No. 47

Lattice parameters (Å, degrees): 3.081 4.567 4.565 90.00 90.00 90.00
Fractional coordinates of all 4 atoms:
As (0.000, 0.000, 0.000)
P (0.500, 0.000, 0.500)
Rh (0.000, 0.500, 0.500)
As (0.500, 0.500, 0.000)

Respective calculated volume values: 262.2, 64.2 Å³/cell.